# Li2ErTlBr6

A relaxed Li2ErTlBr6 crystal (GGA-PBE, Alexandria via LeMat-Bulk).

Computed properties:
V   306 Å³/f.u.
Raw total energy   -35.87 eV for the cell shown

Lattice parameters (Å, degrees): 7.884 7.884 7.884 54.95 54.95 54.95
Atoms (fractional coordinates):
1 Li 0.000 0.000 0.000
2 Li 0.490 0.490 0.490
3 Er 0.806 0.806 0.806
4 Tl 0.285 0.285 0.285
5 Br 0.069 0.399 0.745
6 Br 0.220 0.819 0.650
7 Br 0.399 0.745 0.069
8 Br 0.650 0.220 0.819
9 Br 0.745 0.069 0.399
10 Br 0.819 0.650 0.220